Record 1
VASP calculation (PBE-GGA) on a relaxed KCoHg2Pb crystal.

Output
ΔH_f (0 K) ... 0.05 eV per formula unit
Final energy ... -2.494 eV per atom

abc: 5.234 5.234 4.964
angles: 90.00 90.00 90.00
Atoms (fractional coordinates):
K  0.000  0.000  0.000
Co  0.500  0.500  0.500
Hg  0.000  0.500  0.500
Hg  0.500  0.000  0.500
Pb  0.500  0.500  0.000

Record 2
VASP calculation (PBE-GGA) on a relaxed KCo2HgRh crystal.

Output
ΔH_f (0 K) ... 6.77 eV per formula unit
Final energy ... -3.239 eV per atom

abc: 4.932 4.932 5.179
angles: 90.00 90.00 90.00
Atoms (fractional coordinates):
K  0.000  0.000  0.000
Co  0.000  0.500  0.500
Co  0.500  0.000  0.500
Hg  0.500  0.500  0.500
Rh  0.500  0.500  0.000

Record 3
VASP calculation (PBE-GGA) on a relaxed KCo2HgS crystal.

Output
E_form (uncorrected) ... 0.22 eV per atom
Final energy ... -3.731 eV per atom

abc: 4.318 4.318 6.055
angles: 90.00 90.00 90.00
Atoms (fractional coordinates):
K  0.000  0.000  0.000
Co  0.000  0.500  0.500
Co  0.500  0.000  0.500
Hg  0.500  0.500  0.000
S  0.000  0.000  0.500

Record 4
VASP calculation (PBE-GGA) on a relaxed KCoSn2Hg crystal.

Output
ΔH_f (0 K) ... -0.11 eV per formula unit
Final energy ... -3.323 eV per atom

abc: 4.972 4.972 5.282
angles: 90.00 90.00 90.00
Atoms (fractional coordinates):
K  0.000  0.000  0.000
Co  0.500  0.500  0.500
Sn  0.000  0.500  0.500
Sn  0.500  0.000  0.500
Hg  0.500  0.500  0.000

Record 5
VASP calculation (PBE-GGA) on a relaxed KTlCoHg2 crystal.

Output
ΔH_f (0 K) ... 0.06 eV per formula unit
Final energy ... -2.222 eV per atom

abc: 5.199 5.199 5.048
angles: 90.00 90.00 90.00
Atoms (fractional coordinates):
K  0.000  0.000  0.000
Tl  0.500  0.500  0.000
Co  0.500  0.500  0.500
Hg  0.000  0.500  0.500
Hg  0.500  0.000  0.500

Record 6
VASP calculation (PBE-GGA) on a relaxed KCoHg2W crystal.

Output
ΔH_f (0 K) ... 4.16 eV per formula unit
Final energy ... -3.521 eV per atom

abc: 5.497 5.497 4.499
angles: 90.00 90.00 90.00
Atoms (fractional coordinates):
K  0.000  0.000  0.000
Co  0.500  0.500  0.000
Hg  0.000  0.500  0.500
Hg  0.500  0.000  0.500
W  0.500  0.500  0.500